# 1
ZnIBr | PBE | relaxed

Computed properties:
- Space-group type: Cc, No. 9
- Raw formation energy: -0.7302 eV/atom
- E_tot: -2.2292 eV/atom

POSCAR file:
```
ZnIBr
1.0
4.498 -4.549 0.000
4.498 4.549 0.000
-4.218 0.000 5.527
Zn I Br
2 2 2
direct
0.122 0.878 0.500
0.878 0.122 0.000
0.502 0.764 0.748
0.764 0.502 0.248
0.007 0.212 0.751
0.212 0.007 0.251
```


# 2
Zn5I12Br3 | PBE | relaxed

Computed properties:
- Space-group type: Ia-3d, No. 230
- Raw formation energy: -0.1476 eV/atom
- E_tot: -1.6471 eV/atom

POSCAR file:
```
Zn5I12Br3
1.0
-9.117 9.117 9.117
9.117 -9.117 9.117
9.117 9.117 -9.117
Zn I Br
20 48 12
direct
0.000 0.000 0.000
0.000 0.000 0.500
0.000 0.500 0.000
0.000 0.500 0.500
0.125 0.750 0.875
0.125 0.875 0.250
0.250 0.125 0.875
0.250 0.625 0.375
0.375 0.250 0.625
0.375 0.625 0.750
0.500 0.000 0.000
0.500 0.000 0.500
0.500 0.500 0.000
0.500 0.500 0.500
0.625 0.375 0.250
0.625 0.750 0.375
0.750 0.375 0.625
0.750 0.875 0.125
0.875 0.125 0.750
0.875 0.250 0.125
0.015 0.194 0.118
0.015 0.321 0.897
0.076 0.694 0.679
0.076 0.882 0.397
0.103 0.618 0.424
0.103 0.985 0.679
0.118 0.015 0.194
0.118 0.603 0.924
0.179 0.194 0.576
0.179 0.485 0.603
0.194 0.118 0.015
0.194 0.576 0.179
0.306 0.321 0.924
0.306 0.485 0.382
0.321 0.897 0.015
0.321 0.924 0.306
0.382 0.306 0.485
0.382 0.576 0.897
0.397 0.076 0.882
0.397 0.821 0.515
0.424 0.103 0.618
0.424 0.821 0.806
0.485 0.382 0.306
0.485 0.603 0.179
0.515 0.397 0.821
0.515 0.618 0.694
0.576 0.179 0.194
0.576 0.897 0.382
0.603 0.179 0.485
0.603 0.924 0.118
0.618 0.424 0.103
0.618 0.694 0.515
0.679 0.076 0.694
0.679 0.103 0.985
0.694 0.515 0.618
0.694 0.679 0.076
0.806 0.424 0.821
0.806 0.882 0.985
0.821 0.515 0.397
0.821 0.806 0.424
0.882 0.397 0.076
0.882 0.985 0.806
0.897 0.015 0.321
0.897 0.382 0.576
0.924 0.118 0.603
0.924 0.306 0.321
0.985 0.679 0.103
0.985 0.806 0.882
0.125 0.250 0.375
0.125 0.375 0.750
0.250 0.375 0.125
0.250 0.875 0.625
0.375 0.125 0.250
0.375 0.750 0.125
0.625 0.250 0.875
0.625 0.875 0.750
0.750 0.125 0.375
0.750 0.625 0.875
0.875 0.625 0.250
0.875 0.750 0.625
```


# 3
ZnI2Br2 | PBE | relaxed

Computed properties:
- Space-group type: P4/mbm, No. 127
- Raw formation energy: -0.0874 eV/atom
- E_tot: -1.6314 eV/atom

POSCAR file:
```
ZnI2Br2
1.0
7.492 0.000 0.000
0.000 7.492 0.000
0.000 0.000 8.274
Zn I Br
2 4 4
direct
0.000 0.000 0.000
0.500 0.500 0.000
0.185 0.315 0.000
0.315 0.815 0.000
0.685 0.185 0.000
0.815 0.685 0.000
0.109 0.609 0.500
0.391 0.109 0.500
0.609 0.891 0.500
0.891 0.391 0.500
```


# 4
ZnIBr | PBE | relaxed

Computed properties:
- Space-group type: P3m1, No. 156
- Raw formation energy: -0.6058 eV/atom
- E_tot: -2.1047 eV/atom

POSCAR file:
```
ZnIBr
1.0
3.967 0.000 0.000
-1.983 3.435 0.000
0.000 0.000 7.160
Zn I Br
1 1 1
direct
0.000 0.000 0.000
0.333 0.667 0.230
0.667 0.333 0.797
```